Version i
## ScTc2Pt (PBE-GGA)

Data for a relaxed structure of ScTc2Pt.

CIF file:
```
data_ScTc2Pt
_chemical_formula_sum 'Sc3 Tc6 Pt3'
_space_group_name_H-M_alt 'R -3 m'
_space_group_IT_number 166
_space_group_name_Hall '-R 3 2"'
_cell_length_a 2.8430
_cell_length_b 2.8430
_cell_length_c 27.6954
_cell_angle_alpha 90.00
_cell_angle_beta 90.00
_cell_angle_gamma 120.00
loop_
_atom_site_label
_atom_site_fract_x
_atom_site_fract_y
_atom_site_fract_z
Sc1 0.0000 0.0000 0.0000
Tc1 0.0000 0.0000 0.2473
Pt1 0.0000 0.0000 0.5000
```

Values from the calculation:
**Density of states at the Fermi level**: 5.8 states/eV/f.u.
**Magnetization**: 0.00 μB/cell

***

Version ii
## ScTc2Pt (PBE-GGA)

Data for a relaxed structure of ScTc2Pt.

CIF file:
```
data_ScTc2Pt
_chemical_formula_sum 'Sc1 Tc2 Pt1'
_space_group_name_H-M_alt 'P 4/m m m'
_space_group_IT_number 123
_space_group_name_Hall '-P 4 2'
_cell_length_a 3.808
_cell_length_b 3.808
_cell_length_c 4.401
_cell_angle_alpha 90.00
_cell_angle_beta 90.00
_cell_angle_gamma 90.00
loop_
_atom_site_label
_atom_site_fract_x
_atom_site_fract_y
_atom_site_fract_z
Sc1 0.000 0.000 0.000
Tc1 0.000 0.500 0.500
Pt1 0.500 0.500 0.000
```

Values from the calculation:
**Density of states at the Fermi level**: 5.4 states/eV/f.u.
**Magnetization**: 0.00 μB/cell

***

Relative energies, eV/atom: version i 0.441; version ii 0.000.

***

Version i
## Sc2TcPt (PBE-GGA)

Data for a relaxed structure of Sc2TcPt.

CIF file:
```
data_Sc2TcPt
_chemical_formula_sum 'Sc2 Tc1 Pt1'
_space_group_name_H-M_alt 'P 4/m m m'
_space_group_IT_number 123
_space_group_name_Hall '-P 4 2'
_cell_length_a 4.573
_cell_length_b 4.573
_cell_length_c 3.305
_cell_angle_alpha 90.00
_cell_angle_beta 90.00
_cell_angle_gamma 90.00
loop_
_atom_site_label
_atom_site_fract_x
_atom_site_fract_y
_atom_site_fract_z
Sc1 0.000 0.500 0.000
Tc1 0.000 0.000 0.500
Pt1 0.500 0.500 0.500
```

Values from the calculation:
**Density of states at the Fermi level**: 3.7 states/eV/f.u.
**Magnetization**: 0.00 μB/cell

***

Version ii
## Sc2TcPt (PBE-GGA)

Data for a relaxed structure of Sc2TcPt.

CIF file:
```
data_Sc2TcPt
_chemical_formula_sum 'Sc8 Tc4 Pt4'
_space_group_name_H-M_alt 'I -4 2 d'
_space_group_IT_number 122
_space_group_name_Hall 'I -4 2bw'
_cell_length_a 4.207
_cell_length_b 4.207
_cell_length_c 17.620
_cell_angle_alpha 90.00
_cell_angle_beta 90.00
_cell_angle_gamma 90.00
loop_
_atom_site_label
_atom_site_fract_x
_atom_site_fract_y
_atom_site_fract_z
Sc1 0.243 0.250 0.125
Tc1 0.000 0.000 0.000
Pt1 0.000 0.000 0.500
```

Values from the calculation:
**Density of states at the Fermi level**: 4.4 states/eV/f.u.
**Magnetization**: 1.63 μB/cell

***

Relative energies, eV/atom: version i 0.000; version ii 0.823.

***

Version i
## ScTc3Pt (PBE-GGA)

Data for a relaxed structure of ScTc3Pt.

CIF file:
```
data_ScTc3Pt
_chemical_formula_sum 'Sc1 Tc3 Pt1'
_space_group_name_H-M_alt 'P m -3 m'
_space_group_IT_number 221
_space_group_name_Hall '-P 4 2 3'
_cell_length_a 4.494
_cell_length_b 4.494
_cell_length_c 4.494
_cell_angle_alpha 90.00
_cell_angle_beta 90.00
_cell_angle_gamma 90.00
loop_
_atom_site_label
_atom_site_fract_x
_atom_site_fract_y
_atom_site_fract_z
Sc1 0.000 0.000 0.000
Tc1 0.000 0.000 0.500
Pt1 0.500 0.500 0.500
```

Values from the calculation:
**Density of states at the Fermi level**: 5.2 states/eV/f.u.
**Magnetization**: 0.00 μB/cell

***

Version ii
## ScTc3Pt (PBE-GGA)

Data for a relaxed structure of ScTc3Pt.

CIF file:
```
data_ScTc3Pt
_chemical_formula_sum 'Sc1 Tc3 Pt1'
_space_group_name_H-M_alt 'P m -3 m'
_space_group_IT_number 221
_space_group_name_Hall '-P 4 2 3'
_cell_length_a 4.745
_cell_length_b 4.745
_cell_length_c 4.745
_cell_angle_alpha 90.00
_cell_angle_beta 90.00
_cell_angle_gamma 90.00
loop_
_atom_site_label
_atom_site_fract_x
_atom_site_fract_y
_atom_site_fract_z
Sc1 0.000 0.000 0.000
Tc1 0.000 0.500 0.500
Pt1 0.500 0.500 0.500
```

Values from the calculation:
**Density of states at the Fermi level**: 7.3 states/eV/f.u.
**Magnetization**: 0.00 μB/cell

***

Relative energies, eV/atom: version i 0.316; version ii 0.000.

***

Version i
## ScTePt3 (PBE-GGA)

Data for a relaxed structure of ScTePt3.

CIF file:
```
data_ScTePt3
_chemical_formula_sum 'Sc1 Te1 Pt3'
_space_group_name_H-M_alt 'P m -3 m'
_space_group_IT_number 221
_space_group_name_Hall '-P 4 2 3'
_cell_length_a 4.929
_cell_length_b 4.929
_cell_length_c 4.929
_cell_angle_alpha 90.00
_cell_angle_beta 90.00
_cell_angle_gamma 90.00
loop_
_atom_site_label
_atom_site_fract_x
_atom_site_fract_y
_atom_site_fract_z
Sc1 0.000 0.000 0.000
Te1 0.500 0.500 0.500
Pt1 0.000 0.500 0.500
```

Values from the calculation:
**Density of states at the Fermi level**: 3.5 states/eV/f.u.
**Magnetization**: 0.00 μB/cell

***

Version ii
## ScTePt3 (PBE-GGA)

Data for a relaxed structure of ScTePt3.

CIF file:
```
data_ScTePt3
_chemical_formula_sum 'Sc1 Te1 Pt3'
_space_group_name_H-M_alt 'P m -3 m'
_space_group_IT_number 221
_space_group_name_Hall '-P 4 2 3'
_cell_length_a 4.849
_cell_length_b 4.849
_cell_length_c 4.849
_cell_angle_alpha 90.00
_cell_angle_beta 90.00
_cell_angle_gamma 90.00
loop_
_atom_site_label
_atom_site_fract_x
_atom_site_fract_y
_atom_site_fract_z
Sc1 0.000 0.000 0.000
Te1 0.500 0.500 0.500
Pt1 0.000 0.000 0.500
```

Values from the calculation:
**Density of states at the Fermi level**: 3.0 states/eV/f.u.
**Magnetization**: 0.00 μB/cell

***

Relative energies, eV/atom: version i 0.000; version ii 0.245.

***

Version i
## Sc4TePt (PBE-GGA)

Data for a relaxed structure of Sc4TePt.

CIF file:
```
data_Sc4TePt
_chemical_formula_sum 'Sc16 Te4 Pt4'
_space_group_name_H-M_alt 'F -4 3 m'
_space_group_IT_number 216
_space_group_name_Hall 'F -4 2 3'
_cell_length_a 8.053
_cell_length_b 8.053
_cell_length_c 8.053
_cell_angle_alpha 90.00
_cell_angle_beta 90.00
_cell_angle_gamma 90.00
loop_
_atom_site_label
_atom_site_fract_x
_atom_site_fract_y
_atom_site_fract_z
Sc1 0.125 0.125 0.125
Te1 0.250 0.250 0.750
Pt1 0.000 0.000 0.500
```

Values from the calculation:
**Density of states at the Fermi level**: 9.5 states/eV/f.u.
**Magnetization**: 0.02 μB/cell

***

Version ii
## Sc4TePt (PBE-GGA)

Data for a relaxed structure of Sc4TePt.

CIF file:
```
data_Sc4TePt
_chemical_formula_sum 'Sc16 Te4 Pt4'
_space_group_name_H-M_alt 'P n m a'
_space_group_IT_number 62
_cell_length_a 7.686
_cell_length_b 3.766
_cell_length_c 18.172
_cell_angle_alpha 90.00
_cell_angle_beta 90.00
_cell_angle_gamma 90.00
loop_
_space_group_symop_operation_xyz
'x,y,z'
'-x,-y,-z'
'-x+1/2,-y,z+1/2'
'x+1/2,y,-z+1/2'
'x+1/2,-y+1/2,-z+1/2'
'-x+1/2,y+1/2,z+1/2'
'-x,y+1/2,-z'
'x,-y+1/2,z'
loop_
_atom_site_label
_atom_site_fract_x
_atom_site_fract_y
_atom_site_fract_z
Sc1 0.003 0.250 0.069
Sc2 0.036 0.250 0.788
Sc3 0.136 0.250 0.553
Sc4 0.149 0.250 0.348
Te1 0.232 0.750 0.689
Pt1 0.244 0.750 0.449
```

Values from the calculation:
**Density of states at the Fermi level**: 5.2 states/eV/f.u.
**Magnetization**: 0.00 μB/cell

***

Relative energies, eV/atom: version i 0.903; version ii 0.000.

***

Version i
## ThScPt2 (PBE-GGA)

Data for a relaxed structure of ThScPt2.

CIF file:
```
data_ThScPt2
_chemical_formula_sum 'Th2 Sc2 Pt4'
_space_group_name_H-M_alt 'A m m 2'
_space_group_IT_number 38
_cell_length_a 3.550
_cell_length_b 6.845
_cell_length_c 7.650
_cell_angle_alpha 90.00
_cell_angle_beta 90.00
_cell_angle_gamma 90.00
loop_
_space_group_symop_operation_xyz
'x,y,z'
'-x,-y,z'
'-x,y,z'
'x,-y,z'
'x,y+1/2,z+1/2'
'-x,-y+1/2,z+1/2'
'-x,y+1/2,z+1/2'
'x,-y+1/2,z+1/2'
loop_
_atom_site_label
_atom_site_fract_x
_atom_site_fract_y
_atom_site_fract_z
Th1 0.000 0.000 0.000
Sc1 0.500 0.000 0.421
Pt1 0.500 0.208 0.710
```

Values from the calculation:
**Density of states at the Fermi level**: 2.7 states/eV/f.u.
**Magnetization**: 0.00 μB/cell

***

Version ii
## ThScPt2 (PBE-GGA)

Data for a relaxed structure of ThScPt2.

CIF file:
```
data_ThScPt2
_chemical_formula_sum 'Th2 Sc2 Pt4'
_space_group_name_H-M_alt 'P 1 21/m 1'
_space_group_IT_number 11
_cell_length_a 5.808
_cell_length_b 4.526
_cell_length_c 7.152
_cell_angle_alpha 90.00
_cell_angle_beta 112.82
_cell_angle_gamma 90.00
loop_
_space_group_symop_operation_xyz
'x,y,z'
'-x,-y,-z'
'-x,y+1/2,-z'
'x,-y+1/2,z'
loop_
_atom_site_label
_atom_site_fract_x
_atom_site_fract_y
_atom_site_fract_z
Th1 0.177 0.250 0.380
Sc1 0.381 0.750 0.093
Pt1 0.108 0.250 0.914
Pt2 0.361 0.750 0.697
```

Values from the calculation:
**Density of states at the Fermi level**: 2.7 states/eV/f.u.
**Magnetization**: 0.00 μB/cell

***

Version iii
## ThScPt2 (PBE-GGA)

Data for a relaxed structure of ThScPt2.

CIF file:
```
data_ThScPt2
_chemical_formula_sum 'Th1 Sc1 Pt2'
_space_group_name_H-M_alt 'P 4/m m m'
_space_group_IT_number 123
_space_group_name_Hall '-P 4 2'
_cell_length_a 3.334
_cell_length_b 3.334
_cell_length_c 7.380
_cell_angle_alpha 90.00
_cell_angle_beta 90.00
_cell_angle_gamma 90.00
loop_
_atom_site_label
_atom_site_fract_x
_atom_site_fract_y
_atom_site_fract_z
Th1 0.000 0.000 0.000
Sc1 0.000 0.000 0.500
Pt1 0.500 0.500 0.288
```

Values from the calculation:
**Density of states at the Fermi level**: 2.6 states/eV/f.u.
**Magnetization**: 0.00 μB/cell

***

Relative energies, eV/atom: version i 0.315; version ii 0.000; version iii 0.080.

***

Version i
## ThScPt (PBE-GGA)

Data for a relaxed structure of ThScPt.

CIF file:
```
data_ThScPt
_chemical_formula_sum 'Th4 Sc4 Pt4'
_space_group_name_H-M_alt 'C m c m'
_space_group_IT_number 63
_space_group_name_Hall '-C 2c 2'
_cell_length_a 3.733
_cell_length_b 11.760
_cell_length_c 6.641
_cell_angle_alpha 90.00
_cell_angle_beta 90.00
_cell_angle_gamma 90.00
loop_
_atom_site_label
_atom_site_fract_x
_atom_site_fract_y
_atom_site_fract_z
Th1 0.000 0.208 0.250
Sc1 0.000 0.500 0.000
Pt1 0.000 0.104 0.750
```

Values from the calculation:
**Density of states at the Fermi level**: 4.5 states/eV/f.u.
**Magnetization**: 0.00 μB/cell

***

Version ii
## ThScPt (PBE-GGA)

Data for a relaxed structure of ThScPt.

CIF file:
```
data_ThScPt
_chemical_formula_sum 'Th4 Sc4 Pt4'
_space_group_name_H-M_alt 'F -4 3 m'
_space_group_IT_number 216
_space_group_name_Hall 'F -4 2 3'
_cell_length_a 6.840
_cell_length_b 6.840
_cell_length_c 6.840
_cell_angle_alpha 90.00
_cell_angle_beta 90.00
_cell_angle_gamma 90.00
loop_
_atom_site_label
_atom_site_fract_x
_atom_site_fract_y
_atom_site_fract_z
Th1 0.000 0.000 0.000
Sc1 0.000 0.000 0.500
Pt1 0.250 0.250 0.750
```

Values from the calculation:
**Density of states at the Fermi level**: 3.3 states/eV/f.u.
**Magnetization**: 0.00 μB/cell

***

Relative energies, eV/atom: version i 0.000; version ii 0.167.

***

Version i
## ThScPt (PBE-GGA)

Data for a relaxed structure of ThScPt.

CIF file:
```
data_ThScPt
_chemical_formula_sum 'Th2 Sc2 Pt2'
_space_group_name_H-M_alt 'I 4 m m'
_space_group_IT_number 107
_space_group_name_Hall 'I 4 -2'
_cell_length_a 3.455
_cell_length_b 3.455
_cell_length_c 11.917
_cell_angle_alpha 90.00
_cell_angle_beta 90.00
_cell_angle_gamma 90.00
loop_
_atom_site_label
_atom_site_fract_x
_atom_site_fract_y
_atom_site_fract_z
Th1 0.000 0.000 0.000
Sc1 0.000 0.000 0.284
Pt1 0.000 0.000 0.666
```

Values from the calculation:
**Density of states at the Fermi level**: 4.2 states/eV/f.u.
**Magnetization**: 0.00 μB/cell

***

Version ii
## ThScPt (PBE-GGA)

Data for a relaxed structure of ThScPt.

CIF file:
```
data_ThScPt
_chemical_formula_sum 'Th2 Sc2 Pt2'
_space_group_name_H-M_alt 'P 4/n m m'
_space_group_IT_number 129
_cell_length_a 4.481
_cell_length_b 4.481
_cell_length_c 7.213
_cell_angle_alpha 90.00
_cell_angle_beta 90.00
_cell_angle_gamma 90.00
loop_
_space_group_symop_operation_xyz
'x,y,z'
'-x,-y,-z'
'-y+1/2,x,z'
'y+1/2,-x,-z'
'-x+1/2,-y+1/2,z'
'x+1/2,y+1/2,-z'
'y,-x+1/2,z'
'-y,x+1/2,-z'
'x+1/2,-y,-z'
'-x+1/2,y,z'
'-y,-x,-z'
'y,x,z'
'-x,y+1/2,-z'
'x,-y+1/2,z'
'y+1/2,x+1/2,-z'
'-y+1/2,-x+1/2,z'
loop_
_atom_site_label
_atom_site_fract_x
_atom_site_fract_y
_atom_site_fract_z
Th1 0.250 0.250 0.131
Sc1 0.250 0.750 0.500
Pt1 0.250 0.250 0.738
```

Values from the calculation:
**Density of states at the Fermi level**: 3.2 states/eV/f.u.
**Magnetization**: 0.00 μB/cell

***

Relative energies, eV/atom: version i 0.153; version ii 0.000.